No. 1
{
  "formula": "Na2USb3Pt4",
  "functional": "PBE-GGA",
  "state": "relaxed",
  "lattice_angstrom": [[-3.609, 2.048, -2.007], [-2.774, -3.308, 1.613], [-1.752, 5.979, 9.250]],
  "species": ["Na", "Na", "U", "Sb", "Sb", "Sb", "Pt", "Pt", "Pt", "Pt"],
  "frac_coords": [[0.500, 0.000, 0.218], [0.000, 0.500, 0.782], [0.500, 0.500, 0.500], [0.000, 0.000, 0.500], [0.500, 0.000, 0.875], [0.000, 0.500, 0.125], [0.500, 0.500, 0.000], [0.000, 0.000, 0.000], [0.500, 0.000, 0.641], [0.000, 0.500, 0.359]],
  "rho_g_cm3": 10.02,
  "crystal_system": "tetragonal",
  "total_energy_ev_per_atom": -5.462
}



No. 2
{
  "formula": "NaScPt3",
  "functional": "PBE-GGA",
  "state": "relaxed",
  "lattice_angstrom": [[-0.020, -2.572, 4.176], [4.781, -0.941, -0.556], [1.093, 4.069, 2.511]],
  "species": ["Sc", "Na", "Pt", "Pt", "Pt"],
  "frac_coords": [[0.000, 0.000, 0.000], [0.500, 0.500, 0.500], [0.000, 0.500, 0.000], [0.000, 0.000, 0.500], [0.500, 0.000, 0.000]],
  "rho_g_cm3": 9.19,
  "crystal_system": "cubic",
  "total_energy_ev_per_atom": -4.907,
  "relative_energy_ev_per_atom": 0.0000,
  "formation_enthalpy_0k_ev_per_atom": 0.247
}



No. 3
{
  "formula": "NaSc2Pt3",
  "functional": "PBE-GGA",
  "state": "relaxed",
  "lattice_angstrom": [[3.294, 0.000, 0.000], [0.000, 3.294, 0.000], [0.000, 0.000, 10.333]],
  "species": ["Na", "Sc", "Sc", "Pt", "Pt", "Pt"],
  "frac_coords": [[0.500, 0.500, 0.500], [0.500, 0.500, 0.835], [0.500, 0.500, 0.165], [0.000, 0.000, 0.000], [0.000, 0.000, 0.698], [0.000, 0.000, 0.302]],
  "rho_g_cm3": 10.34,
  "crystal_system": "tetragonal",
  "total_energy_ev_per_atom": -6.302,
  "formation_enthalpy_0k_ev_per_atom": -0.951
}



No. 4
{
  "formula": "NaScPt4",
  "functional": "PBE-GGA",
  "state": "relaxed",
  "lattice_angstrom": [[5.331, 0.000, 0.000], [2.666, 4.617, 0.000], [2.666, 1.539, 4.353]],
  "species": ["Sc", "Na", "Pt", "Pt", "Pt", "Pt"],
  "frac_coords": [[0.000, 0.000, 0.000], [0.250, 0.250, 0.250], [0.625, 0.625, 0.125], [0.625, 0.125, 0.625], [0.625, 0.625, 0.625], [0.125, 0.625, 0.625]],
  "rho_g_cm3": 13.15,
  "crystal_system": "cubic",
  "total_energy_ev_per_atom": -5.978,
  "formation_enthalpy_0k_ev_per_atom": -0.676
}



No. 5
{
  "formula": "NaSc2Pt2",
  "functional": "PBE-GGA",
  "state": "relaxed",
  "lattice_angstrom": [[-2.297, 4.659, -5.916], [-3.069, -6.227, -3.712], [-2.801, 0.498, 1.480]],
  "species": ["Sc", "Sc", "Sc", "Sc", "Na", "Na", "Pt", "Pt", "Pt", "Pt"],
  "frac_coords": [[0.150, 0.650, 0.500], [0.650, 0.850, 0.500], [0.850, 0.350, 0.500], [0.350, 0.150, 0.500], [0.000, 0.000, 0.000], [0.500, 0.500, 0.000], [0.359, 0.859, 0.000], [0.859, 0.641, 0.000], [0.641, 0.141, 0.000], [0.141, 0.359, 0.000]],
  "rho_g_cm3": 8.40,
  "crystal_system": "tetragonal",
  "total_energy_ev_per_atom": -6.088,
  "relative_energy_ev_per_atom": 0.0000,
  "formation_enthalpy_0k_ev_per_atom": -0.875
}



No. 6
{
  "formula": "NaSc2Pt2",
  "functional": "PBE-GGA",
  "state": "relaxed",
  "lattice_angstrom": [[4.497, 0.000, 0.000], [0.000, 4.497, 0.000], [2.248, 2.248, 5.559]],
  "species": ["Sc", "Sc", "Na", "Pt", "Pt"],
  "frac_coords": [[0.750, 0.250, 0.500], [0.250, 0.750, 0.500], [0.000, 0.000, 0.000], [0.382, 0.382, 0.236], [0.618, 0.618, 0.764]],
  "rho_g_cm3": 7.43,
  "crystal_system": "tetragonal",
  "total_energy_ev_per_atom": -6.022,
  "relative_energy_ev_per_atom": 0.0660,
  "formation_enthalpy_0k_ev_per_atom": -0.809
}



No. 7
{
  "formula": "NaSc2Pt2",
  "functional": "PBE-GGA",
  "state": "relaxed",
  "lattice_angstrom": [[-2.923, 6.630, -3.529], [-2.340, -4.402, -6.333], [-2.676, -0.477, 1.321]],
  "species": ["Sc", "Sc", "Sc", "Sc", "Na", "Na", "Pt", "Pt", "Pt", "Pt"],
  "frac_coords": [[0.356, 0.856, 0.000], [0.856, 0.644, 0.000], [0.644, 0.144, 0.000], [0.144, 0.356, 0.000], [0.000, 0.000, 0.000], [0.500, 0.500, 0.000], [0.148, 0.648, 0.500], [0.648, 0.852, 0.500], [0.852, 0.352, 0.500], [0.352, 0.148, 0.500]],
  "rho_g_cm3": 8.51,
  "crystal_system": "tetragonal",
  "total_energy_ev_per_atom": -6.055,
  "relative_energy_ev_per_atom": 0.0329,
  "formation_enthalpy_0k_ev_per_atom": -0.843
}



No. 8
{
  "formula": "Na2ScPt",
  "functional": "PBE-GGA",
  "state": "relaxed",
  "lattice_angstrom": [[3.914, 0.000, 0.000], [0.000, 3.914, 0.000], [1.957, 1.957, 11.511]],
  "species": ["Sc", "Sc", "Na", "Na", "Na", "Na", "Pt", "Pt"],
  "frac_coords": [[0.500, 0.500, 0.000], [0.250, 0.750, 0.500], [0.648, 0.125, 0.250], [0.102, 0.625, 0.250], [0.375, 0.352, 0.750], [0.875, 0.898, 0.750], [0.000, 0.000, 0.000], [0.750, 0.250, 0.500]],
  "rho_g_cm3": 5.39,
  "crystal_system": "tetragonal",
  "total_energy_ev_per_atom": -3.915,
  "relative_energy_ev_per_atom": 0.0000,
  "formation_enthalpy_0k_ev_per_atom": -0.163
}



| no. | V (Å³ per cell) | Fermi-level density of states (states/eV/atom) |
| --- | --- | --- |
| 1 | 236.93 | 1.060 |
| 2 | 118.01 | 0.581 |
| 3 | 112.14 | 0.293 |
| 4 | 107.15 | 1.121 |
| 5 | 198.78 | 0.545 |
| 6 | 112.41 | 0.621 |
| 7 | 196.31 | 0.478 |
| 8 | 176.32 | 0.448 |